Density functional theory data (GGA-PBE) for a relaxed Pa2Co4SiAs3 crystal.

Unit cell a=4.0621 b=4.0621 c=9.3158 alpha=90.00 beta=90.00 gamma=90.00
Element x y z (fractional)
Pa (0.5000, 0.0000, 0.2496)
Pa (0.0000, 0.5000, 0.7504)
Co (0.5000, 0.5000, 0.0000)
Co (0.0000, 0.0000, 0.0000)
Co (0.5000, 0.0000, 0.6184)
Co (0.0000, 0.5000, 0.3816)
Si (0.5000, 0.5000, 0.5000)
As (0.0000, 0.0000, 0.5000)
As (0.5000, 0.0000, 0.8654)
As (0.0000, 0.5000, 0.1346)

## Properties
energy = -7.419 eV/atom
DOS at the Fermi energy = 0.275 states/eV/atom
formation energy (no corrections) = -0.740 eV per atom
space-group type = P-4m2 (115)